Record 1
# KLiCd2Ir | Alexandria via LeMat-Bulk | PBE-GGA | optimized geometry
# D(E_F) in states/eV per cell: 2.1
# DFT formation energy in eV per atom: 0.050
# Calculated density in kg/m3: 5601
data_KLiCd2Ir
_symmetry_space_group_name_H-M 'P 4/m m m'
_symmetry_Int_Tables_number 123
_symmetry_space_group_name_Hall '-P 4 2'
_cell_length_a 5.280
_cell_length_b 5.280
_cell_length_c 4.924
_cell_angle_alpha 90.00
_cell_angle_beta 90.00
_cell_angle_gamma 90.00
loop_
_atom_site_label
_atom_site_type_symbol
_atom_site_fract_x
_atom_site_fract_y
_atom_site_fract_z
K1 K 0.000 0.000 0.000
Li1 Li 0.500 0.500 0.000
Cd1 Cd 0.000 0.500 0.500
Ir1 Ir 0.500 0.500 0.500

Record 2
# KMg2CdIr | Alexandria via LeMat-Bulk | PBE-GGA | optimized geometry
# D(E_F) in states/eV per cell: 1.9
# DFT formation energy in eV per atom: -0.087
# Calculated density in kg/m3: 4706
data_KMg2CdIr
_symmetry_space_group_name_H-M 'P 4/m m m'
_symmetry_Int_Tables_number 123
_symmetry_space_group_name_Hall '-P 4 2'
_cell_length_a 5.086
_cell_length_b 5.086
_cell_length_c 5.352
_cell_angle_alpha 90.00
_cell_angle_beta 90.00
_cell_angle_gamma 90.00
loop_
_atom_site_label
_atom_site_type_symbol
_atom_site_fract_x
_atom_site_fract_y
_atom_site_fract_z
K1 K 0.000 0.000 0.000
Mg1 Mg 0.000 0.500 0.500
Cd1 Cd 0.500 0.500 0.000
Ir1 Ir 0.500 0.500 0.500

Record 3
# K2CdIrO6 | Alexandria via LeMat-Bulk | PBE-GGA | optimized geometry
# D(E_F) in states/eV per cell: 22.3
# Calculated density in kg/m3: 5427
# Final energy in eV per atom: -5.117
data_K2CdIrO6
_symmetry_space_group_name_H-M 'F m -3 m'
_symmetry_Int_Tables_number 225
_symmetry_space_group_name_Hall '-F 4 2 3'
_cell_length_a 8.368
_cell_length_b 8.368
_cell_length_c 8.368
_cell_angle_alpha 90.00
_cell_angle_beta 90.00
_cell_angle_gamma 90.00
loop_
_atom_site_label
_atom_site_type_symbol
_atom_site_fract_x
_atom_site_fract_y
_atom_site_fract_z
K1 K 0.250 0.250 0.250
Cd1 Cd 0.000 0.000 0.000
Ir1 Ir 0.000 0.000 0.500
O1 O 0.000 0.000 0.274

Record 4
# K2Cd2IrO6 | Alexandria via LeMat-Bulk | PBE-GGA | optimized geometry
# D(E_F) in states/eV per cell: 12.8
# Calculated density in kg/m3: 5501
# Final energy in eV per atom: -4.936
data_K2Cd2IrO6
_symmetry_space_group_name_H-M 'C 1 2/m 1'
_symmetry_Int_Tables_number 12
_symmetry_space_group_name_Hall '-C 2y'
_cell_length_a 5.920
_cell_length_b 9.837
_cell_length_c 6.466
_cell_angle_alpha 90.00
_cell_angle_beta 108.57
_cell_angle_gamma 90.00
loop_
_atom_site_label
_atom_site_type_symbol
_atom_site_fract_x
_atom_site_fract_y
_atom_site_fract_z
K1 K 0.000 0.176 0.000
Cd1 Cd 0.000 0.339 0.500
Ir1 Ir 0.000 0.000 0.500
O1 O 0.201 0.144 0.677
O2 O 0.214 0.000 0.320

Record 5
# K3Cd2IrO6 | Alexandria via LeMat-Bulk | PBE-GGA | optimized geometry
# D(E_F) in states/eV per cell: 5.0
# Calculated density in kg/m3: 5770
# Final energy in eV per atom: -4.787
data_K3Cd2IrO6
_symmetry_space_group_name_H-M 'C 1 2/m 1'
_symmetry_Int_Tables_number 12
_symmetry_space_group_name_Hall '-C 2y'
_cell_length_a 5.923
_cell_length_b 10.238
_cell_length_c 6.305
_cell_angle_alpha 90.00
_cell_angle_beta 108.38
_cell_angle_gamma 90.00
loop_
_atom_site_label
_atom_site_type_symbol
_atom_site_fract_x
_atom_site_fract_y
_atom_site_fract_z
K1 K 0.000 0.000 0.000
K2 K 0.000 0.328 0.000
Cd1 Cd 0.000 0.166 0.500
Ir1 Ir 0.000 0.500 0.500
O1 O 0.205 0.357 0.684
O2 O 0.223 0.500 0.315

Record 6
# K2CdIrO4 | Alexandria via LeMat-Bulk | PBE-GGA | optimized geometry
# D(E_F) in states/eV per cell: 1.4
# Calculated density in kg/m3: 5340
# Final energy in eV per atom: -5.021
data_K2CdIrO4
_symmetry_space_group_name_H-M 'I -4'
_symmetry_Int_Tables_number 82
_symmetry_space_group_name_Hall 'I -4'
_cell_length_a 6.264
_cell_length_b 6.264
_cell_length_c 7.081
_cell_angle_alpha 90.00
_cell_angle_beta 90.00
_cell_angle_gamma 90.00
loop_
_atom_site_label
_atom_site_type_symbol
_atom_site_fract_x
_atom_site_fract_y
_atom_site_fract_z
K1 K 0.000 0.000 0.000
K2 K 0.000 0.500 0.250
Cd1 Cd 0.000 0.500 0.750
Ir1 Ir 0.000 0.000 0.500
O1 O 0.147 0.266 0.544

> Which formula does entry 6 have?

K2CdIrO4